(1)
InHgOs2 | the Alexandria database | GGA-PBE | relaxed; M_tot = 0.0 μB/f.u.; distance to the lowest polymorph of the same formula = 571 meV per atom; uncorrected energy = -5.464 eV per atom; space-group type = Pmmm (47); crystal system = orthorhombic
1.0
-0.039 2.832 -0.622
-4.067 0.208 1.201
1.688 1.233 5.506
Hg In Os
1 1 2
Direct
0.500 0.500 0.250
0.500 0.500 0.750
0.000 0.000 0.958
0.000 0.000 0.542



(2)
SmTm3 | the Alexandria database | GGA-PBE | relaxed; M_tot = 0.0 μB/f.u.; distance to the lowest polymorph of the same formula = 0 meV per atom; uncorrected energy = -4.528 eV per atom; space-group type = P6_3/mmc (194); crystal system = hexagonal
1.0
-5.452 4.510 -1.161
1.168 -5.449 -4.511
-3.364 -3.273 3.082
Sm Tm
2 6
Direct
0.333 0.667 0.750
0.667 0.333 0.250
0.166 0.331 0.250
0.669 0.834 0.250
0.166 0.834 0.250
0.834 0.669 0.750
0.331 0.166 0.750
0.834 0.166 0.750



(3)
BaTlHg2 | the Alexandria database | GGA-PBE | relaxed; M_tot = 0.0 μB/f.u.; distance to the lowest polymorph of the same formula = 78 meV per atom; uncorrected energy = -1.543 eV per atom; space-group type = P2/m (10); crystal system = monoclinic
1.0
-2.181 -3.620 -0.224
3.528 -2.095 -0.503
4.495 -3.129 6.797
Tl Hg Ba
1 2 1
Direct
0.500 0.250 0.250
0.000 0.955 0.022
0.000 0.545 0.478
0.500 0.750 0.750



(4)
CeErSnPb | the Alexandria database | GGA-PBE | relaxed; M_tot = 1.7 μB/f.u.; uncorrected energy = -4.988 eV per atom; space-group type = F-43m (216); crystal system = cubic
1.0
-0.413 -1.075 5.307
-0.952 -5.077 1.676
3.910 -2.807 2.514
Pb Sn Ce Er
1 1 1 1
Direct
0.750 0.750 0.750
0.250 0.250 0.250
0.000 0.000 0.000
0.500 0.500 0.500



(5)
Er4InGa | the Alexandria database | GGA-PBE | relaxed; M_tot = 0.0 μB/f.u.; uncorrected energy = -4.167 eV per atom; space-group type = P4/mmm (123); crystal system = tetragonal
1.0
-3.922 -2.306 2.121
2.199 0.397 4.496
-3.174 6.312 0.997
Er In Ga
4 1 1
Direct
0.501 0.997 0.259
0.501 0.997 0.737
0.001 0.497 0.737
0.001 0.497 0.259
0.501 0.497 0.998
0.001 0.997 0.498



(6)
La2BiIr | the Alexandria database | GGA-PBE | relaxed; M_tot = 0.0 μB/f.u.; uncorrected energy = -6.213 eV per atom; space-group type = I-42d (122); crystal system = tetragonal
1.0
-7.338 -0.028 4.008
3.803 -2.687 6.945
-1.248 1.894 6.450
Ir Bi La
2 2 4
Direct
0.500 0.500 0.000
0.250 0.750 0.500
0.000 0.000 0.000
0.750 0.250 0.500
0.566 0.125 0.250
0.184 0.625 0.250
0.375 0.434 0.750
0.875 0.816 0.750